1.
The following is a PBE calculation of a relaxed structure of Sc2TlPd2, from Alexandria.

Cell: 4.655 4.655 6.078 Å, 67.49 67.49 90.00°
Fractional coordinates of all 5 atoms:
Pd  0.624  0.624  0.752
Pd  0.376  0.376  0.248
Tl  0.000  0.000  0.000
Sc  0.250  0.750  0.500
Sc  0.750  0.250  0.500

VASP energy ... -5.5570 eV per atom
Symmetry ... I4/mmm, No. 139

---

2.
The following is a PBE calculation of a relaxed structure of TbHo2In, from Alexandria.

Cell: 3.574 3.574 9.154 Å, 90.00 90.00 90.00°
Fractional coordinates of all 4 atoms:
Ho  0.000  0.000  0.227
Ho  0.000  0.000  0.773
Tb  0.500  0.500  0.500
In  0.500  0.500  0.000

VASP energy ... -4.3639 eV per atom
Symmetry ... P4/mmm, No. 123
ΔE to the lowest computed polymorph ... 33 meV/atom

---

3.
The following is a PBE calculation of a relaxed structure of MgTlAgRh, from Alexandria.

Cell: 4.676 4.676 4.676 Å, 60.00 60.00 60.00°
Fractional coordinates of all 4 atoms:
Mg  0.500  0.500  0.500
Ag  0.250  0.250  0.250
Rh  0.750  0.750  0.750
Tl  0.000  0.000  0.000

VASP energy ... -3.6403 eV per atom
Symmetry ... F-43m, No. 216